Below is a geometry-optimized RbTmV2O8 structure, with properties calculated at the PBE+U level.

Cell: 5.903 5.903 7.995 Å, 90.00 90.00 120.00°
Site moments in Bohr magnetons follow the coordinates.
Fractional positions:
O1 0.171 0.828 0.668  0.21
O2 0.667 0.333 0.049  0.34
O3 0.829 0.172 0.332  0.21
O4 0.172 0.343 0.668  0.21
O5 0.333 0.667 0.951  0.34
O6 0.343 0.171 0.332  0.21
O7 0.828 0.657 0.332  0.21
O8 0.657 0.829 0.668  0.21
Tm1 0.000 0.000 0.500  -0.03
Rb1 0.000 0.000 0.000  0.00
V1 0.333 0.667 0.737  -0.18
V2 0.667 0.333 0.263  -0.18

total energy = -6.991 eV per atom
D(E_F) = 0.839 states/eV/atom
calculated volume = 20.106 Å³ per atom
symmetry = No. 164